(1)
A geometry-optimized Co6NiPt2 structure. Source: Alexandria via LeMat-Bulk, functional PBE.

abc: 4.939 4.939 5.322
angles: 90.09 90.09 60.03
Element x y z (fractional)
Co 0.146 0.677 0.668
Co 0.323 0.323 0.332
Co 0.323 0.854 0.332
Co 0.677 0.146 0.668
Co 0.677 0.677 0.668
Co 0.854 0.323 0.332
Ni 0.500 0.500 0.000
Pt 0.167 0.167 0.865
Pt 0.833 0.833 0.135

Energy above the lowest structure with this stoichiometry ... 180 kJ/mol of formula units

***

(2)
A geometry-optimized CoNi2Pt structure. Source: Alexandria via LeMat-Bulk, functional PBE.

abc: 5.255 5.255 5.255
angles: 103.10 103.10 123.13
Element x y z (fractional)
Co 0.000 0.000 0.000
Co 0.750 0.250 0.500
Ni 0.097 0.125 0.472
Ni 0.375 0.903 0.028
Ni 0.653 0.625 0.528
Ni 0.875 0.347 0.972
Pt 0.250 0.750 0.500
Pt 0.500 0.500 0.000

***

(3)
A geometry-optimized CoNi4Pt3 structure. Source: Alexandria via LeMat-Bulk, functional PBE.

abc: 8.579 8.579 4.625
angles: 95.37 95.37 17.90
Element x y z (fractional)
Co 0.000 0.000 0.000
Ni 0.122 0.122 0.364
Ni 0.380 0.380 0.116
Ni 0.620 0.620 0.884
Ni 0.878 0.878 0.636
Pt 0.249 0.249 0.750
Pt 0.500 0.500 0.500
Pt 0.751 0.751 0.250

Energy above the lowest structure with this stoichiometry ... 7 kJ/mol of formula units

***

(4)
A geometry-optimized Co6Ni5Pt2 structure. Source: Alexandria via LeMat-Bulk, functional PBE.

abc: 8.431 14.402 2.577
angles: 90.00 90.00 90.00
Element x y z (fractional)
Co 0.056 0.075 0.000
Co 0.057 0.365 0.000
Co 0.193 0.621 0.500
Co 0.307 0.121 0.500
Co 0.443 0.865 0.000
Co 0.444 0.575 0.000
Co 0.556 0.425 0.000
Co 0.557 0.135 0.000
Co 0.693 0.879 0.500
Co 0.807 0.379 0.500
Co 0.943 0.635 0.000
Co 0.944 0.925 0.000
Ni 0.000 0.500 0.500
Ni 0.087 0.222 0.500
Ni 0.211 0.953 0.500
Ni 0.289 0.453 0.500
Ni 0.413 0.722 0.500
Ni 0.500 0.000 0.500
Ni 0.587 0.278 0.500
Ni 0.711 0.547 0.500
Ni 0.789 0.047 0.500
Ni 0.913 0.778 0.500
Pt 0.170 0.785 0.000
Pt 0.330 0.285 0.000
Pt 0.670 0.715 0.000
Pt 0.830 0.215 0.000

***

(5)
A geometry-optimized Co2Ni5Pt4 structure. Source: Alexandria via LeMat-Bulk, functional PBE.

abc: 8.302 8.302 6.600
angles: 91.50 91.50 18.46
Element x y z (fractional)
Co 0.058 0.058 0.371
Co 0.942 0.942 0.629
Ni 0.000 0.000 0.000
Ni 0.315 0.315 0.548
Ni 0.376 0.376 0.900
Ni 0.624 0.624 0.100
Ni 0.685 0.685 0.452
Pt 0.261 0.261 0.181
Pt 0.426 0.426 0.282
Pt 0.574 0.574 0.718
Pt 0.739 0.739 0.819

Energy above the lowest structure with this stoichiometry ... 0 kJ/mol of formula units

***

(6)
A geometry-optimized CoNi2Pt structure. Source: Alexandria via LeMat-Bulk, functional PBE.

abc: 2.618 3.592 5.227
angles: 90.00 90.13 90.00
Element x y z (fractional)
Co 0.000 0.000 0.000
Ni 0.499 0.500 0.232
Ni 0.501 0.500 0.768
Pt 0.000 0.000 0.500

***

Number 1: spin magnetization 11.98 μB per formula unit, electronic total energy -6.57 eV per atom. Number 2: spin magnetization 3.48 μB per formula unit, electronic total energy -5.81 eV per atom. Number 3: spin magnetization 5.47 μB per formula unit, electronic total energy -6.09 eV per atom. Number 4: spin magnetization 14.51 μB per formula unit, electronic total energy -6.35 eV per atom. Number 5: spin magnetization 8.54 μB per formula unit, electronic total energy -6.13 eV per atom. Number 6: spin magnetization 3.53 μB per formula unit, electronic total energy -6.22 eV per atom.